# 1
! PBE KZrSc2, optimized geometry; values from VASP
&SYSTEM
  ibrav = 0, nat = 4, ntyp = 3
/
ATOMIC_SPECIES
K 39.10 K.upf
Sc 44.96 Sc.upf
Zr 91.22 Zr.upf
ATOMIC_POSITIONS crystal
K 0.2513 0.7513 0.5000
Sc 0.9815 0.9815 0.0000
Zr 0.5239 0.5239 0.0000
Sc 0.7434 0.2434 0.5000
CELL_PARAMETERS angstrom
-3.5741 -4.9796 2.8979
2.6829 -3.7476 4.9726
-2.1758 5.9051 -2.5229
! E above lowest polymorph ... 0.351 eV/atom
! Space group ... Imm2 (44)
! Energy of formation ... 647 meV/atom

# 2
! PBE Ge2OsPd, optimized geometry; values from VASP
&SYSTEM
  ibrav = 0, nat = 4, ntyp = 3
/
ATOMIC_SPECIES
Ge 72.64 Ge.upf
Pd 106.42 Pd.upf
Os 190.23 Os.upf
ATOMIC_POSITIONS crystal
Ge 0.7500 0.7500 0.7500
Pd 0.0000 0.0000 0.0000
Ge 0.2500 0.2500 0.2500
Os 0.5000 0.5000 0.5000
CELL_PARAMETERS angstrom
-3.7714 2.1160 0.8385
-1.9497 2.3641 -3.1645
-3.7644 -1.4109 -1.8007
! E above lowest polymorph ... 0.088 eV/atom
! Space group ... Fm-3m (225)
! Energy of formation ... 108 meV/atom

# 3
! PBE Mg2Sn2Ir3, optimized geometry; values from VASP
&SYSTEM
  ibrav = 0, nat = 7, ntyp = 3
/
ATOMIC_SPECIES
Mg 24.30 Mg.upf
Sn 118.71 Sn.upf
Ir 192.22 Ir.upf
ATOMIC_POSITIONS crystal
Mg 0.7365 0.8680 0.6036
Sn 0.2172 0.6084 0.8249
Ir 0.0000 0.0000 0.0000
Sn 0.7828 0.3916 0.1751
Mg 0.2635 0.1320 0.3964
Ir 0.4776 0.7388 0.2184
Ir 0.5224 0.2612 0.7816
CELL_PARAMETERS angstrom
4.3881 0.0020 -1.2219
-2.3627 3.8872 -0.0018
-0.2558 -0.1541 7.5365
! Space group ... C2/m (12)
! Energy of formation ... -325 meV/atom

# 4
! PBE Tb3NdHo8, optimized geometry; values from VASP
&SYSTEM
  ibrav = 0, nat = 12, ntyp = 3
/
ATOMIC_SPECIES
Ho 164.93 Ho.upf
Tb 158.93 Tb.upf
Nd 144.24 Nd.upf
ATOMIC_POSITIONS crystal
Ho 0.1255 0.6223 0.7478
Tb 0.2500 0.7500 0.5000
Ho 0.6223 0.1255 0.7478
Nd 0.0000 0.0000 0.0000
Tb 0.7500 0.2500 0.5000
Ho 0.3777 0.3777 0.2522
Tb 0.5000 0.5000 0.0000
Ho 0.1255 0.1255 0.7478
Ho 0.8745 0.8745 0.2522
Ho 0.8745 0.3777 0.2522
Ho 0.3777 0.8745 0.2522
Ho 0.6223 0.6223 0.7478
CELL_PARAMETERS angstrom
7.0021 0.0000 -3.1324
-1.4013 6.8605 -3.1324
0.0063 0.0077 9.4064
! Space group ... I4/mmm (139)
! Energy of formation ... 745 meV/atom

# 5
! PBE CdCo2Br, optimized geometry; values from VASP
&SYSTEM
  ibrav = 0, nat = 4, ntyp = 3
/
ATOMIC_SPECIES
Co 58.93 Co.upf
Br 79.90 Br.upf
Cd 112.41 Cd.upf
ATOMIC_POSITIONS crystal
Co 0.2500 0.7500 0.5000
Br 0.5000 0.5000 0.0000
Co 0.0000 0.0000 0.0000
Cd 0.7500 0.2500 0.5000
CELL_PARAMETERS angstrom
-1.0803 1.8751 -4.9633
-4.9705 -0.4552 -2.0988
2.3669 1.6714 4.5741
! E above lowest polymorph ... 0.450 eV/atom
! Space group ... I-4m2 (119)
! Formation energy (no corrections) ... 17.91 kcal/mol of atoms

# 6
! PBE KIrS, optimized geometry; values from VASP
&SYSTEM
  ibrav = 0, nat = 3, ntyp = 3
/
ATOMIC_SPECIES
S 32.06 S.upf
Ir 192.22 Ir.upf
K 39.10 K.upf
ATOMIC_POSITIONS crystal
S 0.0000 0.0000 0.5000
Ir 0.3333 0.6667 0.5000
K 0.6667 0.3333 0.0000
CELL_PARAMETERS angstrom
-2.8237 1.2988 -2.4043
1.8761 -3.3573 -0.8059
-3.6106 -2.6872 2.7890
! E above lowest polymorph ... 0.123 eV/atom
! Space group ... P-6m2 (187)
! Formation energy (no corrections) ... -5.67 kcal/mol of atoms

# 7
! PBE Cd2AsPt, optimized geometry; values from VASP
&SYSTEM
  ibrav = 0, nat = 4, ntyp = 3
/
ATOMIC_SPECIES
Cd 112.41 Cd.upf
Pt 195.08 Pt.upf
As 74.92 As.upf
ATOMIC_POSITIONS crystal
Cd 0.9955 0.9955 0.9955
Cd 0.5045 0.5045 0.5045
Pt 0.2500 0.2500 0.2500
As 0.7500 0.7500 0.7500
CELL_PARAMETERS angstrom
9.6025 -0.0428 -0.0251
9.1232 2.9961 -0.0251
9.1232 1.4389 2.6282
! Space group ... R-3m (166)
! Energy of formation ... 45 meV/atom

# 8
! PBE TeP4Se, optimized geometry; values from VASP
&SYSTEM
  ibrav = 0, nat = 12, ntyp = 3
/
ATOMIC_SPECIES
Se 78.96 Se.upf
Te 127.60 Te.upf
P 30.97 P.upf
ATOMIC_POSITIONS crystal
Se 0.5710 0.0556 0.9029
Te 0.1999 0.3332 0.9874
P 0.7835 0.5946 0.5474
Se 0.3656 0.7707 0.3610
P 0.7167 0.3145 0.7880
P 0.9440 0.8432 0.7428
Te 0.7460 0.5656 0.1248
P 0.4367 0.3227 0.2672
P 0.4657 0.5630 0.5011
P 0.3161 0.6817 0.0071
P 0.0534 0.7732 0.0160
P 0.4030 0.1808 0.7072
CELL_PARAMETERS angstrom
7.1971 0.1240 -0.0101
-2.4314 7.7364 -0.0770
-0.4383 -1.3863 6.4916
! E above lowest polymorph ... 0.000 eV/atom
! Space group ... P1 (1)
! Formation energy (no corrections) ... 6.08 kcal/mol of atoms

| no. | magnetic moment (μB/cell) | theoretical density (g/cm³) |
| --- | --- | --- |
| 1 | 0.7 | 3.22 |
| 2 | 0.0 | 12.14 |
| 3 | 0.0 | 11.29 |
| 4 | 0.0 | 7.13 |
| 5 | 3.2 | 7.61 |
| 6 | 0.0 | 6.18 |
| 7 | 0.0 | 10.62 |
| 8 | 0.0 | 3.03 |